Here is an optimized crystal structure of NdHo4Cd5 from Alexandria via LeMat-Bulk. Energies are from PBE.

Cell: 3.743 3.743 18.894 Å, 90.00 90.00 90.00°
Element x y z (fractional)
1 Nd 0.000 0.000 0.000
2 Ho 0.000 0.000 0.205
3 Ho 0.000 0.000 0.402
4 Ho 0.000 0.000 0.598
5 Ho 0.000 0.000 0.795
6 Cd 0.500 0.500 0.109
7 Cd 0.500 0.500 0.303
8 Cd 0.500 0.500 0.500
9 Cd 0.500 0.500 0.697
10 Cd 0.500 0.500 0.891

Summary:
Energy relative to the elements (meV per atom): -315
Uncorrected energy (eV for the cell shown): -30.8